VASP calculation (PBE-GGA) on an optimized crystal structure of TbPr2Cu.

Calculated values
SG   P4/mmm
E   -4.60 eV/atom
ΔE to the lowest computed polymorph   0 meV/atom
Total moment   0.000 μB/atom

Cell: 3.656 3.656 8.704 Å, 90.00 90.00 90.00°
Element x y z (fractional)
Tb: 0.000 0.000 0.000
Pr: 0.500 0.500 0.297
Pr: 0.500 0.500 0.703
Cu: 0.000 0.000 0.500

VASP calculation (PBE-GGA) on an optimized crystal structure of Ac2SmSb2Se2.

Calculated values
SG   I4/mmm
E   -5.08 eV/atom
ΔE_f (raw)   -1.06 eV per atom
Total moment   0.000 μB/atom

Cell: 5.859 5.859 15.564 Å, 90.00 90.00 90.00°
Element x y z (fractional)
Ac: 0.000 0.000 0.128
Ac: 0.000 0.000 0.872
Ac: 0.500 0.500 0.372
Ac: 0.500 0.500 0.628
Sm: 0.000 0.000 0.500
Sm: 0.500 0.500 0.000
Sb: 0.000 0.500 0.000
Sb: 0.000 0.500 0.500
Sb: 0.500 0.000 0.000
Sb: 0.500 0.000 0.500
Se: 0.000 0.000 0.315
Se: 0.000 0.000 0.685
Se: 0.500 0.500 0.185
Se: 0.500 0.500 0.815

VASP calculation (PBE-GGA) on an optimized crystal structure of Rb2ZrPdS4.

Calculated values
SG   Fddd
E   -5.04 eV/atom
ΔE_f (raw)   -1.01 eV per atom
Total moment   0.238 μB/atom

Cell: 14.053 12.590 7.566 Å, 84.50 63.10 32.41°
Element x y z (fractional)
Rb: 0.054 0.054 0.696
Rb: 0.304 0.304 0.946
Rb: 0.696 0.696 0.054
Rb: 0.946 0.946 0.304
Zr: 0.125 0.125 0.125
Zr: 0.875 0.875 0.875
Pd: 0.375 0.375 0.375
Pd: 0.625 0.625 0.625
S: 0.029 0.327 0.420
S: 0.276 0.580 0.673
S: 0.327 0.029 0.724
S: 0.420 0.724 0.029
S: 0.580 0.276 0.971
S: 0.673 0.971 0.276
S: 0.724 0.420 0.327
S: 0.971 0.673 0.580

VASP calculation (PBE-GGA) on an optimized crystal structure of La2Al2Rh.

Calculated values
SG   P4/mbm
E   -5.40 eV/atom
Total moment   0.000 μB/atom

Cell: 6.795 6.795 5.028 Å, 90.00 90.00 90.00°
Element x y z (fractional)
La: 0.166 0.334 0.000
La: 0.334 0.834 0.000
La: 0.666 0.166 0.000
La: 0.834 0.666 0.000
Al: 0.145 0.645 0.500
Al: 0.355 0.145 0.500
Al: 0.645 0.855 0.500
Al: 0.855 0.355 0.500
Rh: 0.000 0.000 0.500
Rh: 0.500 0.500 0.500

VASP calculation (PBE-GGA) on an optimized crystal structure of SrAgPbCl5.

Calculated values
SG   C2/c
E   -3.60 eV/atom
ΔE_f (raw)   -1.41 eV per atom
Total moment   0.000 μB/atom

Cell: 7.726 7.726 10.082 Å, 104.41 104.41 107.34°
Element x y z (fractional)
Sr: 0.000 0.000 0.000
Sr: 0.000 0.000 0.500
Ag: 0.318 0.682 0.750
Ag: 0.682 0.318 0.250
Pb: 0.364 0.636 0.250
Pb: 0.636 0.364 0.750
Cl: 0.020 0.652 0.826
Cl: 0.120 0.880 0.250
Cl: 0.305 0.376 0.555
Cl: 0.348 0.980 0.674
Cl: 0.376 0.305 0.055
Cl: 0.624 0.695 0.945
Cl: 0.652 0.020 0.326
Cl: 0.695 0.624 0.445
Cl: 0.880 0.120 0.750
Cl: 0.980 0.348 0.174

VASP calculation (PBE-GGA) on an optimized crystal structure of ReRhSe2.

Calculated values
SG   Immm
E   -6.53 eV/atom
ΔE to the lowest computed polymorph   126 meV/atom
ΔE_f (raw)   0.16 eV per atom
Total moment   0.421 μB/atom

Cell: 3.789 3.885 12.512 Å, 90.00 90.00 90.00°
Element x y z (fractional)
Re: 0.000 0.000 0.000
Re: 0.500 0.500 0.500
Rh: 0.000 0.000 0.500
Rh: 0.500 0.500 0.000
Se: 0.000 0.500 0.135
Se: 0.000 0.500 0.865
Se: 0.500 0.000 0.365
Se: 0.500 0.000 0.635

VASP calculation (PBE-GGA) on an optimized crystal structure of TbDy12Ho6.

Calculated values
SG   R-3
E   -4.44 eV/atom
ΔE to the lowest computed polymorph   0 meV/atom
Total moment   0.000 μB/atom

Cell: 8.472 8.472 8.472 Å, 88.42 88.42 88.42°
Element x y z (fractional)
Tb: 0.000 0.000 0.000
Dy: 0.011 0.357 0.205
Dy: 0.205 0.011 0.357
Dy: 0.225 0.565 0.458
Dy: 0.357 0.205 0.011
Dy: 0.435 0.542 0.775
Dy: 0.458 0.225 0.565
Dy: 0.542 0.775 0.435
Dy: 0.565 0.458 0.225
Dy: 0.643 0.795 0.989
Dy: 0.775 0.435 0.542
Dy: 0.795 0.989 0.643
Dy: 0.989 0.643 0.795
Ho: 0.093 0.258 0.691
Ho: 0.258 0.691 0.093
Ho: 0.309 0.907 0.742
Ho: 0.691 0.093 0.258
Ho: 0.742 0.309 0.907
Ho: 0.907 0.742 0.309

VASP calculation (PBE-GGA) on an optimized crystal structure of MnAl2Fe.

Calculated values
SG   P4mm
E   -6.43 eV/atom
Total moment   0.538 μB/atom

Cell: 2.979 2.979 5.668 Å, 90.00 90.00 90.00°
Element x y z (fractional)
Mn: 0.000 0.000 0.000
Al: 0.000 0.000 0.535
Al: 0.500 0.500 0.231
Fe: 0.500 0.500 0.761